Compound: UCl4F4
Source: Alexandria
Functional: PBE
Structure: relaxed

Properties
Formation energy without anion corrections in eV per atom: -1.73
DOS at the Fermi energy in states/eV/atom: 0.8431

Geometry as POSCAR:
```
UCl4F4
1.0
5.515 0.000 0.000
0.000 8.549 0.000
0.000 0.000 8.549
U Cl F
2 8 8
Direct
0.000 0.000 0.000
0.500 0.500 0.500
0.690 0.800 0.499
0.690 0.200 0.501
0.190 0.999 0.700
0.810 0.300 0.999
0.810 0.700 0.001
0.310 0.499 0.200
0.310 0.501 0.800
0.190 0.001 0.300
0.266 0.165 0.000
0.766 0.500 0.665
0.266 0.835 0.000
0.234 0.335 0.500
0.734 0.000 0.835
0.234 0.665 0.500
0.766 0.500 0.335
0.734 0.000 0.165
```

---

Compound: UClF3
Source: Alexandria
Functional: PBE
Structure: relaxed

Properties
Formation energy without anion corrections in eV per atom: -2.82
DOS at the Fermi energy in states/eV/atom: 1.3374
ΔE to the lowest computed polymorph in meV/atom: 248

Geometry as POSCAR:
```
UClF3
1.0
5.544 0.000 0.000
0.000 6.250 -3.609
0.000 0.000 7.217
U Cl F
2 2 6
Direct
0.750 0.333 0.667
0.250 0.667 0.333
0.250 0.333 0.667
0.750 0.667 0.333
0.250 0.830 0.660
0.250 0.340 0.170
0.750 0.660 0.830
0.750 0.170 0.340
0.250 0.830 0.170
0.750 0.170 0.830
```

---

Compound: U2Cl4F3
Source: Alexandria
Functional: PBE
Structure: relaxed

Properties
Formation energy without anion corrections in eV per atom: -2.43
DOS at the Fermi energy in states/eV/atom: 1.8562

Geometry as POSCAR:
```
U2Cl4F3
1.0
3.710 0.000 -1.023
-0.554 6.795 -2.009
0.150 0.063 7.782
U Cl F
2 4 3
Direct
0.397 0.567 0.794
0.603 0.433 0.206
0.228 0.681 0.457
0.772 0.319 0.543
0.571 0.808 0.142
0.429 0.192 0.858
0.107 0.260 0.213
0.893 0.740 0.787
0.000 0.500 0.000
```